A relaxed structure of LiTh, computed with PBE-GGA.

Output
Space group: Fm-3m, No. 225
Density in Mg/m³: 7.49
Polymorph energy (0 for the lowest one) in meV per atom: 559

Unit cell a=4.217 b=4.217 c=4.217 alpha=60.00 beta=60.00 gamma=60.00
Atoms (fractional coordinates):
Li  0.000  0.000  0.000
Th  0.500  0.500  0.500